Crystalline PrMg3 at its relaxed geometry, computed with PBE.

Structure (CIF):
```
data_PrMg3
_space_group_name_H-M_alt 'P 1'
_space_group_IT_number 1
_cell_length_a 6.942
_cell_length_b 6.793
_cell_length_c 5.306
_cell_angle_alpha 90.00
_cell_angle_beta 90.00
_cell_angle_gamma 120.73
loop_
_space_group_symop_operation_xyz
'x,y,z'
loop_
_atom_site_label
_atom_site_type_symbol
_atom_site_fract_x
_atom_site_fract_y
_atom_site_fract_z
Mg1 Mg 0.496 0.002 0.000
Mg2 Mg 0.006 0.002 0.000
Mg3 Mg 0.507 0.514 0.000
Mg4 Mg 0.326 0.153 0.500
Mg5 Mg 0.338 0.665 0.500
Mg6 Mg 0.827 0.665 0.500
Pr1 Pr 0.004 0.508 0.000
Pr2 Pr 0.829 0.159 0.500
```

Computed properties:
Total moment in μB per atom: 0.0017
Total DFT energy (no corrections) in eV per cell: -18.8
Space group: No. 63